First-principles (PBE) data for a relaxed structure of Fe3CoH, as listed in Alexandria via LeMat-Bulk.

Output
Its crystal system is cubic. The density of states at the Fermi level is 0.736 states/eV/atom. Its space-group type is Pm-3m (221). The calculation puts the total energy at -28.341 eV for the cell shown.

Cell: 4.3445 4.3445 4.3445 Å, 90.00 90.00 90.00°
With the nearest neighbours (Å) after each atom.
Positions (direct):
Fe1 0.0000 0.0000 0.5000  2 Co 2.17
Fe2 0.0000 0.5000 0.0000  2 Co 2.17
Fe3 0.5000 0.0000 0.0000  2 Co 2.17
Co1 0.0000 0.0000 0.0000  6 Fe 2.17
H1 0.5000 0.5000 0.5000  12 Fe 3.07

First-principles (PBE) data for a relaxed structure of Fe2CoH, as listed in Alexandria via LeMat-Bulk.

Output
Its crystal system is monoclinic. The density of states at the Fermi level is 0.732 states/eV/atom. Its space-group type is Cm (8). The calculation puts the total energy at -54.483 eV for the cell shown.

Cell: 8.1024 3.6633 2.5620 Å, 90.00 108.15 90.00°
With the nearest neighbours (Å) after each atom.
Positions (direct):
Fe1 0.0000 0.0000 0.0000  2 H 1.87-1.88
Fe2 0.1733 0.5000 0.6716  2 H 1.83
Fe3 0.5000 0.5000 0.0000  2 H 1.87-1.88
Fe4 0.6733 0.0000 0.6716  2 H 1.83
Co1 0.3460 0.0000 0.3432  2 H 1.82
Co2 0.8460 0.5000 0.3432  2 H 1.82
H1 0.1779 0.0000 0.6763  2 Co 1.82, 4 Fe 1.83-1.88
H2 0.6779 0.5000 0.6763  2 Co 1.82, 4 Fe 1.83-1.88

First-principles (PBE) data for a relaxed structure of Fe4CoH5, as listed in Alexandria via LeMat-Bulk.

Output
Its crystal system is tetragonal. The density of states at the Fermi level is 0.562 states/eV/atom. Its space-group type is I4/m (87). The calculation puts the total energy at -57.809 eV for the cell shown.

Cell: 4.5869 4.5869 4.5869 Å, 99.58 99.58 131.85°
With the nearest neighbours (Å) after each atom.
Positions (direct):
Fe1 0.1009 0.7010 0.8020  6 H 1.87-1.89
Fe2 0.2990 0.1009 0.3999  6 H 1.87-1.89
Fe3 0.7010 0.8991 0.6001  6 H 1.87-1.89
Fe4 0.8991 0.2990 0.1980  6 H 1.87-1.89
Co1 0.5000 0.5000 0.0000  6 H 1.86-1.87
H1 0.0000 0.0000 0.0000  4 Fe 1.87, 2 Co 1.87
H2 0.2022 0.4010 0.6032  1 Co 1.86, 5 Fe 1.87-1.89
H3 0.4010 0.7978 0.1988  1 Co 1.86, 5 Fe 1.87-1.89
H4 0.5990 0.2022 0.8012  1 Co 1.86, 5 Fe 1.87-1.89
H5 0.7978 0.5990 0.3968  1 Co 1.86, 5 Fe 1.87-1.89

First-principles (PBE) data for a relaxed structure of FeCo8H4, as listed in Alexandria via LeMat-Bulk.

Output
Its crystal system is monoclinic. The density of states at the Fermi level is 0.752 states/eV/atom. Its space-group type is C2/m (12). The calculation puts the total energy at -78.653 eV for the cell shown.

Cell: 6.3727 6.3727 8.5771 Å, 128.47 128.47 23.15°
With the nearest neighbours (Å) after each atom.
Positions (direct):
Fe1 0.0000 0.0000 0.0000  10 Co 2.51-2.52, 2 Fe 2.56
Co1 0.0366 0.0366 0.7424  3 H 1.80-1.81
Co2 0.2984 0.2984 0.9238  3 H 1.82-1.84
Co3 0.3363 0.3363 0.6742  3 H 1.84-1.85
Co4 0.3720 0.3720 0.4071  3 H 1.79-1.81
Co5 0.6280 0.6280 0.5929  3 H 1.79-1.81
Co6 0.6637 0.6637 0.3258  3 H 1.84-1.85
Co7 0.7016 0.7016 0.0762  3 H 1.82-1.84
Co8 0.9634 0.9634 0.2576  3 H 1.80-1.81
H1 0.1477 0.1477 0.4635  6 Co 1.80-1.85
H2 0.3335 0.3335 0.1669  6 Co 1.79-1.84
H3 0.6665 0.6665 0.8331  6 Co 1.79-1.84
H4 0.8523 0.8523 0.5365  6 Co 1.80-1.85

First-principles (PBE) data for a relaxed structure of Fe2CoH2, as listed in Alexandria via LeMat-Bulk.

Output
Its crystal system is monoclinic. The density of states at the Fermi level is 0.621 states/eV/atom. Its space-group type is C2/m (12). The calculation puts the total energy at -61.393 eV for the cell shown.

Cell: 4.5093 4.5093 5.2022 Å, 107.38 107.38 49.02°
With the nearest neighbours (Å) after each atom.
Positions (direct):
Fe1 0.0055 0.0055 0.2650  4 H 1.87-1.92
Fe2 0.3282 0.3282 0.9071  5 H 1.84-1.90
Fe3 0.6718 0.6718 0.0929  5 H 1.84-1.90
Fe4 0.9945 0.9945 0.7350  4 H 1.87-1.92
Co1 0.3323 0.3323 0.4196  3 H 1.79-1.84
Co2 0.6677 0.6677 0.5804  3 H 1.79-1.84
H1 0.1696 0.1696 0.0869  1 Co 1.81, 5 Fe 1.84-1.92
H2 0.4998 0.4998 0.2567  2 Co 1.79-1.84, 4 Fe 1.87-1.90
H3 0.5002 0.5002 0.7433  2 Co 1.79-1.84, 4 Fe 1.87-1.90
H4 0.8304 0.8304 0.9131  1 Co 1.81, 5 Fe 1.84-1.92

First-principles (PBE) data for a relaxed structure of FeCoH, as listed in Alexandria via LeMat-Bulk.

Output
Its crystal system is tetragonal. The density of states at the Fermi level is 1.191 states/eV/atom. Its space-group type is I4_1md (109). The calculation puts the total energy at -74.052 eV for the cell shown.

Cell: 3.5849 3.5849 7.1284 Å, 90.00 90.00 90.00°
With the nearest neighbours (Å) after each atom.
Positions (direct):
Fe1 0.0000 0.0000 0.0000  3 H 1.79
Fe2 0.0000 0.5000 0.2500  3 H 1.79
Fe3 0.5000 0.0000 0.7500  3 H 1.79
Fe4 0.5000 0.5000 0.5000  3 H 1.79
Co1 0.0000 0.0000 0.4959  3 H 1.79-1.80
Co2 0.0000 0.5000 0.7459  3 H 1.79-1.80
Co3 0.5000 0.0000 0.2459  3 H 1.79-1.80
Co4 0.5000 0.5000 0.9959  3 H 1.79-1.80
H1 0.0000 0.0000 0.7482  3 Fe 1.79, 3 Co 1.79-1.80
H2 0.0000 0.5000 0.9982  3 Fe 1.79, 3 Co 1.79-1.80
H3 0.5000 0.0000 0.4982  3 Fe 1.79, 3 Co 1.79-1.80
H4 0.5000 0.5000 0.2482  3 Fe 1.79, 3 Co 1.79-1.80

First-principles (PBE) data for a relaxed structure of FeCoH, as listed in Alexandria via LeMat-Bulk.

Output
Its crystal system is triclinic. The density of states at the Fermi level is 0.632 states/eV/atom. Its space-group type is P1 (1). The calculation puts the total energy at -150.851 eV for the cell shown.

Cell: 4.1939 4.5096 10.3064 Å, 90.12 90.09 90.22°
With the nearest neighbours (Å) after each atom.
Positions (direct):
Fe1 0.0000 0.0000 0.0000  3 H 1.81-1.87
Fe2 0.0011 0.5009 0.8751  3 H 1.80-1.86
Fe3 0.0085 0.9943 0.2509  2 H 1.84-1.87
Fe4 0.4988 0.1783 0.6274  4 H 1.71-1.91
Fe5 0.5018 0.6741 0.7513  3 H 1.81-1.86
Fe6 0.5196 0.1860 0.1236  3 H 1.83-1.85
Fe7 0.9857 0.0012 0.4959  2 H 1.67-1.83
Fe8 0.9957 0.5073 0.3727  2 H 1.79-1.83
Co1 0.0038 0.5035 0.1245  3 H 1.81-1.84
Co2 0.0047 0.5046 0.6265  3 H 1.70-1.82
Co3 0.0058 0.0052 0.7496  3 H 1.80-1.83
Co4 0.5061 0.1723 0.8760  3 H 1.82-1.83
Co5 0.5084 0.6735 0.9993  3 H 1.79-1.83
Co6 0.5112 0.6753 0.2522  2 H 1.81-1.85
Co7 0.5155 0.1744 0.3662  2 H 1.66-1.81
Co8 0.5153 0.6528 0.4967  2 H 1.59-1.75
H1 0.2325 0.3675 0.5037  2 Co 1.70-1.75, 2 Fe 1.79-1.90, 1 H 1.85
H2 0.2533 0.3426 0.2486  3 Co 1.81-1.85, 3 Fe 1.83-1.87
H3 0.2529 0.8400 0.8750  3 Fe 1.81-1.86, 3 Co 1.82-1.83
H4 0.2557 0.3409 0.9996  3 Co 1.82-1.83, 3 Fe 1.82-1.87
H5 0.3838 0.9829 0.4927  2 Co 1.59-1.66, 2 Fe 1.67-1.71
H6 0.7495 0.8356 0.1241  3 Co 1.79-1.84, 3 Fe 1.81-1.85
H7 0.7544 0.3363 0.7507  3 Fe 1.80-1.86, 3 Co 1.82-1.83
H8 0.7581 0.8321 0.6277  3 Co 1.80-1.87, 3 Fe 1.81-1.91

First-principles (PBE) data for a relaxed structure of HfFe2CoH, as listed in Alexandria via LeMat-Bulk.

Output
Its crystal system is tetragonal. The density of states at the Fermi level is 0.916 states/eV/atom. Its space-group type is P4/mmm (123). The calculation puts the total energy at -37.904 eV for the cell shown.

Cell: 3.6223 3.6223 4.2202 Å, 90.00 90.00 90.00°
With the nearest neighbours (Å) after each atom.
Positions (direct):
Hf1 0.0000 0.0000 0.0000  2 H 2.11
Fe1 0.0000 0.5000 0.5000  2 H 1.81
Fe2 0.5000 0.0000 0.5000  2 H 1.81
Co1 0.5000 0.5000 0.0000  4 Hf 2.56, 8 Fe 2.78
H1 0.0000 0.0000 0.5000  4 Fe 1.81